# 1
The following is a DFT calculation (PBE-GGA) of VFe2HPd after structural relaxation.

Structure (CIF):
```
data_VFe2HPd
_chemical_formula_sum 'V1 Fe2 H1 Pd1'
_cell_length_a 3.682
_cell_length_b 3.682
_cell_length_c 3.725
_cell_angle_alpha 90.00
_cell_angle_beta 90.00
_cell_angle_gamma 90.00
_space_group_name_H-M_alt 'P 4/m m m'
_space_group_IT_number 123
_space_group_name_Hall '-P 4 2'
loop_
_atom_site_label
_atom_site_type_symbol
_atom_site_fract_x
_atom_site_fract_y
_atom_site_fract_z
V1 V 0.000 0.000 0.000
Fe1 Fe 0.000 0.500 0.500
H1 H 0.000 0.000 0.500
Pd1 Pd 0.500 0.500 0.000
```

Calculated values
Final energy in eV for the cell shown: -34.64
Spin magnetization in μB/atom: 0.0001

# 2
The following is a DFT calculation (PBE-GGA) of Rb2AsS4 after structural relaxation.

Structure (CIF):
```
data_Rb2AsS4
_chemical_formula_sum 'Rb16 As8 S32'
_cell_length_a 11.795
_cell_length_b 15.106
_cell_length_c 15.187
_cell_angle_alpha 90.00
_cell_angle_beta 90.00
_cell_angle_gamma 90.00
_space_group_name_H-M_alt 'F m m m'
_space_group_IT_number 69
_space_group_name_Hall '-F 2 2'
loop_
_atom_site_label
_atom_site_type_symbol
_atom_site_fract_x
_atom_site_fract_y
_atom_site_fract_z
Rb1 Rb 0.000 0.000 0.244
Rb2 Rb 0.000 0.247 0.000
As1 As 0.250 0.250 0.250
S1 S 0.147 0.165 0.334
```

Calculated values
E_form (uncorrected) in eV/f.u.: -3.0
Final energy in eV for the cell shown: -209.03
Spin magnetization in μB/atom: 0.1321

# 3
The following is a DFT calculation (PBE-GGA) of MnGePHCN after structural relaxation.

Structure (CIF):
```
data_MnGePHCN
_chemical_formula_sum 'Mn2 Ge2 P2 H2 C2 N2'
_cell_length_a 9.247
_cell_length_b 2.862
_cell_length_c 4.769
_cell_angle_alpha 90.00
_cell_angle_beta 101.86
_cell_angle_gamma 90.00
_space_group_name_H-M_alt 'C 1 m 1'
_space_group_IT_number 8
loop_
_space_group_symop_operation_xyz
'x,y,z'
'x,-y,z'
'x+1/2,y+1/2,z'
'x+1/2,-y+1/2,z'
loop_
_atom_site_label
_atom_site_type_symbol
_atom_site_fract_x
_atom_site_fract_y
_atom_site_fract_z
Mn1 Mn 0.000 0.000 0.000
Ge1 Ge 0.458 0.000 0.382
P1 P 0.272 0.500 0.751
H1 H 0.179 0.000 0.330
C1 C 0.272 0.000 0.521
N1 N 0.087 0.500 0.792
```

Calculated values
Final energy in eV for the cell shown: -78.95
Spin magnetization in μB/atom: 0.0000

# 4
The following is a DFT calculation (PBE-GGA) of NiPAu after structural relaxation.

Structure (CIF):
```
data_NiPAu
_chemical_formula_sum 'Ni4 P4 Au4'
_cell_length_a 5.696
_cell_length_b 5.696
_cell_length_c 5.696
_cell_angle_alpha 90.00
_cell_angle_beta 90.00
_cell_angle_gamma 90.00
_space_group_name_H-M_alt 'F -4 3 m'
_space_group_IT_number 216
_space_group_name_Hall 'F -4 2 3'
loop_
_atom_site_label
_atom_site_type_symbol
_atom_site_fract_x
_atom_site_fract_y
_atom_site_fract_z
Ni1 Ni 0.000 0.000 0.000
P1 P 0.250 0.250 0.250
Au1 Au 0.000 0.000 0.500
```

Calculated values
Energy of formation in kJ per mole of atoms: 5.6
Final energy in eV for the cell shown: -57.17
Spin magnetization in μB/atom: 0.0000

# 5
The following is a DFT calculation (PBE-GGA) of Er3Ir2Pd after structural relaxation.

Structure (CIF):
```
data_Er3Ir2Pd
_chemical_formula_sum 'Er6 Ir4 Pd2'
_cell_length_a 4.917
_cell_length_b 14.749
_cell_length_c 3.310
_cell_angle_alpha 90.00
_cell_angle_beta 90.00
_cell_angle_gamma 90.00
_space_group_name_H-M_alt 'C m m m'
_space_group_IT_number 65
_space_group_name_Hall '-C 2 2'
loop_
_atom_site_label
_atom_site_type_symbol
_atom_site_fract_x
_atom_site_fract_y
_atom_site_fract_z
Er1 Er 0.000 0.000 0.000
Er2 Er 0.000 0.330 0.000
Ir1 Ir 0.000 0.165 0.500
Pd1 Pd 0.000 0.500 0.500
```

Calculated values
Energy of formation in kJ per mole of atoms: -88.5
Final energy in eV for the cell shown: -84.21
Spin magnetization in μB/atom: 0.0000

# 6
The following is a DFT calculation (PBE-GGA) of Tb12Pm2Ho5 after structural relaxation.

Structure (CIF):
```
data_Tb12Pm2Ho5
_chemical_formula_sum 'Tb12 Pm2 Ho5'
_cell_length_a 6.475
_cell_length_b 8.803
_cell_length_c 11.473
_cell_angle_alpha 107.68
_cell_angle_beta 90.42
_cell_angle_gamma 98.60
_space_group_name_H-M_alt 'P -1'
_space_group_IT_number 2
loop_
_space_group_symop_operation_xyz
'x,y,z'
'-x,-y,-z'
loop_
_atom_site_label
_atom_site_type_symbol
_atom_site_fract_x
_atom_site_fract_y
_atom_site_fract_z
Tb1 Tb 0.052 0.147 0.434
Tb2 Tb 0.062 0.646 0.765
Tb3 Tb 0.144 0.761 0.274
Tb4 Tb 0.308 0.068 0.813
Tb5 Tb 0.382 0.369 0.707
Tb6 Tb 0.415 0.238 0.228
Pm1 Pm 0.195 0.876 0.036
Ho1 Ho 0.240 0.452 0.010
Ho2 Ho 0.270 0.562 0.490
Ho3 Ho 0.500 0.000 0.500
```

Calculated values
Energy of formation in kJ per mole of atoms: 10.3
Final energy in eV for the cell shown: -85.93
Spin magnetization in μB/atom: 0.0000

> The highest final energy belongs to which entry?

VFe2HPd